1.
Computed, not measured: a relaxed structure of BeIrF at the GGA-PBE level of DFT.

Energy relative to the elements, uncorrected in eV/atom: -0.591
Excess energy over the best structure of this formula in the dataset in kJ/mol of atoms: 80.4
Electronic total energy in eV for the cell shown: -32.46

Cell lengths 2.7250, 2.7250, 10.9868 Å; angles 90.00, 90.00, 120.00 degrees
Space group P6_3/mmc (No. 194)
Inequivalent atoms, fractional coordinates:
Be  0.3333  0.6667  0.2500 (multiplicity 2)
Ir  0.0000  0.0000  0.0000 (multiplicity 2)
F  0.0000  0.0000  0.2500 (multiplicity 2)


2.
Computed, not measured: a relaxed structure of YCd2In2 at the GGA-PBE level of DFT.

DFT formation energy in eV per atom: -0.11
Excess energy over the best structure of this formula in the dataset in kJ/mol of atoms: 6.4
Electronic total energy in eV for the cell shown: -28.60

Cell lengths 8.449, 8.449, 3.575 Å; angles 90.00, 90.00, 90.00 degrees
Space group P4/mbm (No. 127)
Inequivalent atoms, fractional coordinates:
Y  0.000  0.000  0.000 (multiplicity 2)
Cd  0.167  0.333  0.500 (multiplicity 4)
In  0.133  0.633  0.000 (multiplicity 4)


Question: electronic total energy of number 2 (YCd2In2)?
Answer: -28.60 eV for the cell shown